TmPuSe3: optimized geometry, PBE.

Values from the calculation:
density: 8.4 g/cm3
crystal system: orthorhombic
uncorrected energy: -7.48 eV/atom

Lattice parameters (Å, degrees): 6.825 6.825 9.921 90.00 90.00 146.13
Element x y z (fractional)
1 Tm 0.000 0.000 0.000
2 Tm 0.000 0.000 0.500
3 Pu 0.249 0.751 0.750
4 Pu 0.751 0.249 0.250
5 Se 0.092 0.908 0.250
6 Se 0.356 0.644 0.067
7 Se 0.356 0.644 0.433
8 Se 0.644 0.356 0.567
9 Se 0.644 0.356 0.933
10 Se 0.908 0.092 0.750

***

Y3PuSe4: optimized geometry, PBE.

Values from the calculation:
density: 7.0 g/cm3
crystal system: orthorhombic
uncorrected energy: -7.69 eV/atom

Lattice parameters (Å, degrees): 7.114 7.114 4.087 90.00 90.00 109.19
Element x y z (fractional)
1 Y 0.000 0.000 0.000
2 Y 0.000 0.500 0.500
3 Y 0.500 0.000 0.500
4 Pu 0.500 0.500 0.000
5 Se 0.247 0.247 0.500
6 Se 0.249 0.751 0.000
7 Se 0.751 0.249 0.000
8 Se 0.753 0.753 0.500